This record from Alexandria via LeMat-Bulk describes a geometry-optimized LaCo4Cl structure. The functional is PBE.

Cell lengths 5.1094, 5.1094, 5.1094 Å; angles 60.00, 60.00, 60.00 degrees
Last column: nearest neighbours and their distance in Å.
Atoms (fractional coordinates):
La 0.0000 0.0000 0.0000  12 Co 3.00, 4 Cl 3.13
Co 0.1257 0.6248 0.6248  6 Co 2.55-2.56
Co 0.6248 0.1257 0.6248  6 Co 2.55-2.56
Co 0.6248 0.6248 0.1257  6 Co 2.55-2.56
Co 0.6248 0.6248 0.6248  6 Co 2.55-2.56
Cl 0.2500 0.2500 0.2500  12 Co 3.00, 4 La 3.13

Values from the calculation:
- M_tot (Bohr magnetons per cell) = 5.94
- raw total energy (eV per atom) = -5.71
- formation energy (no corrections) (eV per formula unit) = 0.92
- mass density (g/cm3) = 7.22